# TbMg7Sc2

A relaxed TbMg7Sc2 crystal (GGA-PBE, Alexandria).

Values from the calculation:
M_tot = 1.18 μB per formula unit
E_tot = -2.589 eV/atom
Fermi-level density of states = 9.74 states/eV/cell

a = 11.380 Å, b = 11.380 Å, c = 3.263 Å
α = 90.00°, β = 90.00°, γ = 141.65°
Atoms (fractional coordinates):
Tb 0.000 0.000 0.000
Mg 0.058 0.317 0.500
Mg 0.317 0.058 0.500
Mg 0.386 0.614 0.000
Mg 0.500 0.500 0.500
Mg 0.614 0.386 0.000
Mg 0.683 0.942 0.500
Mg 0.942 0.683 0.500
Sc 0.262 0.738 0.500
Sc 0.738 0.262 0.500